{
  "formula": "Pr2MnPbO6",
  "functional": "PBE with a Hubbard U",
  "state": "optimized geometry",
  "volume_a3_per_atom": 14.683,
  "e_tot_ev_per_cell": -72.6,
  "density_g_cm3": 7.2,
  "lattice_angstrom": [[5.7844, 0.0000, -0.5565], [0.0000, 5.6965, 0.0000], [-2.9203, -2.8483, 4.7369]],
  "species": ["Pr", "Pr", "Mn", "Pb", "O", "O", "O", "O", "O", "O"],
  "frac_coords": [[0.2289, 0.2590, 0.5180], [0.7711, 0.7410, 0.4820], [0.5000, 0.0000, 0.0000], [0.0000, 0.5000, 0.0000], [0.3861, 0.7586, 0.5171], [0.1987, 0.1558, 0.8402], [0.8013, 0.3156, 0.1598], [0.1987, 0.6844, 0.8402], [0.8013, 0.8442, 0.1598], [0.6139, 0.2414, 0.4829]]
}